Below is crystalline P3Ru2N at its relaxed geometry, with properties calculated at the PBE level.

Lattice parameters (Å, degrees): 3.6075 3.9535 6.7076 82.11 74.70 64.51
Fractional coordinates of all 6 atoms:
P: 0.0000 0.0000 0.0000
P: 0.1271 0.3877 0.3459
P: 0.5899 0.7373 0.6056
Ru: 0.4941 0.2105 0.8197
Ru: 0.6343 0.5963 0.1328
N: 0.3460 0.9353 0.4047

Calculated values
Energy above the lowest structure with this stoichiometry: 1.509 eV/f.u.
Crystal system: triclinic

=====

Below is crystalline P3RuN at its relaxed geometry, with properties calculated at the PBE level.

Lattice parameters (Å, degrees): 4.5002 4.5002 4.5002 90.00 90.00 90.00
Fractional coordinates of all 5 atoms:
P: 0.0000 0.0000 0.5000
P: 0.0000 0.5000 0.0000
P: 0.5000 0.0000 0.0000
Ru: 0.0000 0.0000 0.0000
N: 0.5000 0.5000 0.5000

Calculated values
Energy above the lowest structure with this stoichiometry: 9.520 eV/f.u.
Crystal system: cubic

=====

Values for formation energy from raw total energies, eV per atom, ordered as above
-0.091 1.623